Computed, not measured: crystalline PmNdSc at its relaxed geometry at the GGA-PBE level of DFT.

abc: 3.568 3.568 14.745
angles: 90.00 90.00 90.00
Element x y z (fractional)
Pm1 0.000 0.000 0.000
Pm2 0.500 0.500 0.500
Nd1 0.000 0.000 0.680
Nd2 0.500 0.500 0.180
Sc1 0.000 0.000 0.340
Sc2 0.500 0.500 0.840

Output
As for the density of states at the Fermi level: 10.18 states/eV/cell. As for the space group: No. 107. The value obtained for the total energy is -31.3 eV for the cell shown. The density is 5.91 Mg/m³. Its formation energy is 6 kJ/mol of atoms. The relative energy among the computed polymorphs is 0 meV per atom.

Computed, not measured: crystalline LaGa2Ir2 at its relaxed geometry at the GGA-PBE level of DFT.

abc: 7.780 7.780 2.911
angles: 90.00 90.00 90.00
Element x y z (fractional)
La1 0.000 0.000 0.000
La2 0.500 0.500 0.000
Ga1 0.120 0.380 0.000
Ga2 0.380 0.880 0.000
Ga3 0.620 0.120 0.000
Ga4 0.880 0.620 0.000
Ir1 0.175 0.675 0.500
Ir2 0.325 0.175 0.500
Ir3 0.675 0.825 0.500
Ir4 0.825 0.325 0.500

Output
As for the density of states at the Fermi level: 4.07 states/eV/cell. As for the space group: No. 127. The value obtained for the total energy is -62.3 eV for the cell shown. The density is 12.49 Mg/m³. Its formation energy is -47 kJ/mol of atoms.